Record 1
The following is a DFT calculation (PBEsol) of crystalline SrHIrPd2 at its relaxed geometry.

```
SrHIrPd2
1.0
5.064 0.000 0.000
0.000 5.132 0.000
0.000 0.000 5.132
Pd Ir H Sr
2 1 1 1
direct
0.000 0.000 0.500 Pd
0.000 0.500 0.000 Pd
0.500 0.000 0.000 Ir
0.500 0.500 0.500 H
0.000 0.000 0.000 Sr
```

Output
Space group: P4/mmm (123)
Total DFT energy (no corrections), eV/atom: -3.08
Volume, Å³/f.u.: 133

***

Record 2
The following is a DFT calculation (PBEsol) of crystalline Rb2H2Ir at its relaxed geometry.

```
Rb2H2Ir
1.0
-1.065 3.917 2.752
-5.333 0.361 -2.579
-2.262 -3.553 4.181
Rb H Ir
4 4 2
direct
0.500 0.676 0.824 Rb
0.500 0.176 0.676 Rb
0.500 0.324 0.176 Rb
0.500 0.824 0.324 Rb
0.000 0.229 0.271 H
0.000 0.729 0.229 H
0.000 0.271 0.771 H
0.000 0.771 0.729 H
0.000 0.000 0.000 Ir
0.000 0.500 0.500 Ir
```

Output
Space group: P4/mbm (127)
Total DFT energy (no corrections), eV/atom: -3.10
Volume, Å³/f.u.: 86

***

Record 3
The following is a DFT calculation (PBEsol) of crystalline RbH3Ir at its relaxed geometry.

```
RbH3Ir
1.0
-2.732 0.801 -2.813
-2.925 -0.727 2.634
0.016 3.853 1.082
H Ir Rb
3 1 1
direct
0.500 0.000 0.000 H
0.000 0.000 0.500 H
0.000 0.500 0.000 H
0.500 0.500 0.500 Ir
0.000 0.000 0.000 Rb
```

Output
Space group: Pm-3m (221)
Total DFT energy (no corrections), eV/atom: -2.02
Volume, Å³/f.u.: 64